Entry from Alexandria via LeMat-Bulk: a PBEsol-optimized structure of PSeIN2 (SCAN).

Cell lengths 3.6635, 3.6635, 5.7372 Å; angles 90.00, 90.00, 90.00 degrees
Closest atoms and distances in Å follow each position.
Atoms (fractional coordinates):
I 0.5000 0.5000 0.5000  4 Se 2.59
P 0.0000 0.0000 0.0000  4 N 1.83
Se 0.0000 0.0000 0.5000  4 I 2.59, 2 P 2.87
N 0.0000 0.5000 0.0000  2 P 1.83
N 0.5000 0.0000 0.0000  2 P 1.83

VASP energy: -15.921 eV/atom
Crystal system: tetragonal
Formation energy from raw total energies: 1.239 eV per atom


Entry from Alexandria via LeMat-Bulk: a PBEsol-optimized structure of TaPI2N (SCAN).

Cell lengths 3.3157, 5.4535, 5.4535 Å; angles 90.00, 90.00, 90.00 degrees
Closest atoms and distances in Å follow each position.
Atoms (fractional coordinates):
I 0.0000 0.0000 0.5000  2 P 2.73
I 0.0000 0.5000 0.0000  2 P 2.73
P 0.0000 0.0000 0.0000  2 N 1.66
N 0.5000 0.0000 0.0000  2 P 1.66
Ta 0.5000 0.5000 0.5000  8 I 3.19, 2 Ta 3.32

VASP energy: -30.810 eV/atom
Crystal system: tetragonal
Formation energy from raw total energies: 1.142 eV per atom


Entry from Alexandria via LeMat-Bulk: a PBEsol-optimized structure of Te2PIN (SCAN).

Cell lengths 5.4707, 5.2036, 5.2036 Å; angles 90.00, 90.00, 90.00 degrees
Closest atoms and distances in Å follow each position.
Atoms (fractional coordinates):
I 0.5000 0.0000 0.0000  2 P 2.74
P 0.0000 0.0000 0.0000  4 Te 2.60, 2 I 2.74
Te 0.0000 0.0000 0.5000  2 P 2.60
Te 0.0000 0.5000 0.0000  2 P 2.60
N 0.5000 0.5000 0.5000  4 I 3.68, 8 Te 3.78

VASP energy: -24.831 eV/atom
Crystal system: tetragonal
Formation energy from raw total energies: 1.356 eV per atom


Q: Which value of VASP energy does entry 2 give?
A: -30.810 eV/atom